(w)
A relaxed structure of Er3Tm4Pb, computed with GGA-PBE.

a = 6.928 Å, b = 6.925 Å, c = 7.722 Å
α = 77.28°, β = 131.48°, γ = 120.48°
Positions (direct):
Er 0.249 0.750 0.499
Tm 0.000 0.500 0.000
Er 0.500 0.500 0.000
Tm 0.764 0.752 0.516
Er 0.751 0.250 0.501
Tm 0.500 0.000 0.000
Pb 0.000 0.000 0.000
Tm 0.236 0.248 0.484

## Properties
* SG: C2/m (12)

=====

(x)
A relaxed structure of Er3Tm4Pb, computed with GGA-PBE.

a = 6.089 Å, b = 6.975 Å, c = 11.079 Å
α = 90.00°, β = 90.00°, γ = 90.00°
Positions (direct):
Tm 0.994 0.123 0.758
Er 0.966 0.615 0.248
Tm 0.494 0.877 0.258
Er 0.639 0.632 0.000
Er 0.139 0.368 0.500
Pb 0.649 0.624 0.500
Tm 0.494 0.877 0.742
Er 0.466 0.385 0.748
Tm 0.643 0.130 0.000
Pb 0.149 0.376 0.000
Tm 0.994 0.123 0.242
Tm 0.164 0.872 0.000
Er 0.466 0.385 0.252
Tm 0.664 0.128 0.500
Tm 0.143 0.870 0.500
Er 0.966 0.615 0.752

## Properties
* SG: Pmn2_1 (31)

=====

Which is the most stable structure? (x) is the most stable.

=====

(w)
A relaxed structure of Er5Tm4Pb, computed with GGA-PBE.

a = 5.752 Å, b = 7.979 Å, c = 7.979 Å
α = 82.54°, β = 68.87°, γ = 68.87°
Positions (direct):
Tm 0.459 0.682 0.318
Tm 0.777 0.682 0.682
Er 0.671 0.000 0.000
Tm 0.142 0.318 0.318
Pb 0.186 0.000 0.000
Tm 0.459 0.318 0.682
Er 0.141 0.625 0.000
Er 0.766 0.375 0.000
Er 0.766 0.000 0.375
Er 0.141 0.000 0.625

## Properties
* SG: I4mm (107)

=====

(x)
A relaxed structure of Er5Tm4Pb, computed with GGA-PBE.

a = 3.488 Å, b = 10.796 Å, c = 8.744 Å
α = 81.41°, β = 101.51°, γ = 90.00°
Positions (direct):
Er 0.500 0.500 0.000
Er 0.833 0.437 0.666
Er 0.163 0.980 0.327
Pb 0.500 0.000 0.000
Er 0.167 0.563 0.334
Tm 0.992 0.762 0.985
Tm 0.008 0.238 0.015
Tm 0.674 0.270 0.349
Tm 0.326 0.730 0.651
Er 0.837 0.020 0.673

## Properties
* SG: C2/m (12)

=====

Which is the most stable structure? (x) is the most stable.